[1]
# CdHSe | the Alexandria database | PBE-GGA | relaxed
data_CdHSe
_chemical_formula_sum 'Cd2 H2 Se2'
_cell_length_a 4.2382
_cell_length_b 4.7648
_cell_length_c 7.2335
_cell_angle_alpha 78.70
_cell_angle_beta 89.83
_cell_angle_gamma 63.67
_symmetry_space_group_name_H-M 'P -1'
_symmetry_Int_Tables_number 2
loop_
_symmetry_equiv_pos_as_xyz
'x,y,z'
'-x,-y,-z'
loop_
_atom_site_label
_atom_site_fract_x
_atom_site_fract_y
_atom_site_fract_z
_atom_site_occupancy
Cd1 0.0423 0.4134 0.3205 1
H1 0.1553 0.1848 0.5938 1
Se1 0.3803 0.7393 0.8648 1
# Crystal system: triclinic

[2]
# NaAuBrF2 | the Alexandria database | PBE-GGA | relaxed
data_NaAuBrF2
_chemical_formula_sum 'Na1 Au1 Br1 F2'
_cell_length_a 4.9980
_cell_length_b 4.9980
_cell_length_c 4.7977
_cell_angle_alpha 90.00
_cell_angle_beta 90.00
_cell_angle_gamma 90.00
_symmetry_space_group_name_H-M 'P 4/m m m'
_symmetry_Int_Tables_number 123
_symmetry_space_group_name_Hall '-P 4 2'
loop_
_atom_site_label
_atom_site_fract_x
_atom_site_fract_y
_atom_site_fract_z
_atom_site_occupancy
Na1 0.0000 0.0000 0.0000 1
Au1 0.5000 0.5000 0.0000 1
Br1 0.5000 0.5000 0.5000 1
F1 0.0000 0.5000 0.5000 1
# D(E_F) in states/eV/f.u.: 2.4
# Crystal system: tetragonal
# ΔE_f (raw) in kcal/mol of atoms: -14.096

[3]
# Y4SiAs2Se | the Alexandria database | PBE-GGA | relaxed
data_Y4SiAs2Se
_chemical_formula_sum 'Y8 Si2 As4 Se2'
_cell_length_a 5.8216
_cell_length_b 5.8216
_cell_length_c 11.6562
_cell_angle_alpha 90.00
_cell_angle_beta 90.00
_cell_angle_gamma 90.00
_symmetry_space_group_name_H-M 'I -4 m 2'
_symmetry_Int_Tables_number 119
_symmetry_space_group_name_Hall 'I -4 -2'
loop_
_atom_site_label
_atom_site_fract_x
_atom_site_fract_y
_atom_site_fract_z
_atom_site_occupancy
Y1 0.0000 0.0000 0.2467 1
Y2 0.0000 0.5000 0.0013 1
Si1 0.0000 0.5000 0.2500 1
As1 0.0000 0.0000 0.0000 1
As2 0.0000 0.5000 0.7500 1
Se1 0.0000 0.0000 0.5000 1
# D(E_F) in states/eV/f.u.: 1.8
# Crystal system: tetragonal
# ΔE_f (raw) in kcal/mol of atoms: -33.375

[4]
# Pm4NdDy5 | the Alexandria database | PBE-GGA | relaxed
data_Pm4NdDy5
_chemical_formula_sum 'Pm8 Nd2 Dy10'
_cell_length_a 10.6142
_cell_length_b 10.6142
_cell_length_c 6.0419
_cell_angle_alpha 90.00
_cell_angle_beta 90.00
_cell_angle_gamma 90.00
_symmetry_space_group_name_H-M 'I 4 m m'
_symmetry_Int_Tables_number 107
_symmetry_space_group_name_Hall 'I 4 -2'
loop_
_atom_site_label
_atom_site_fract_x
_atom_site_fract_y
_atom_site_fract_z
_atom_site_occupancy
Pm1 0.0000 0.3258 0.0000 1
Nd1 0.0000 0.0000 0.2583 1
Dy1 0.0000 0.0000 0.7868 1
Dy2 0.1894 0.1894 0.5267 1
# D(E_F) in states/eV/f.u.: 13.7
# Crystal system: tetragonal
# Formation energy from the elements in eV/atom: 0.248

[5]
# Pm4Nd3Zn4 | the Alexandria database | PBE-GGA | relaxed
data_Pm4Nd3Zn4
_chemical_formula_sum 'Pm8 Nd6 Zn8'
_cell_length_a 5.0633
_cell_length_b 7.6431
_cell_length_c 16.0574
_cell_angle_alpha 90.00
_cell_angle_beta 90.00
_cell_angle_gamma 90.00
_symmetry_space_group_name_H-M 'I m m m'
_symmetry_Int_Tables_number 71
_symmetry_space_group_name_Hall '-I 2 2'
loop_
_atom_site_label
_atom_site_fract_x
_atom_site_fract_y
_atom_site_fract_z
_atom_site_occupancy
Pm1 0.0000 0.2184 0.1732 1
Nd1 0.0000 0.0000 0.3933 1
Nd2 0.0000 0.5000 0.5000 1
Zn1 0.0000 0.3335 0.0000 1
Zn2 0.0000 0.5000 0.3035 1
# D(E_F) in states/eV/f.u.: 11.0
# Crystal system: orthorhombic
# Formation energy from the elements in eV/atom: -0.116

[6]
# Pm12In2Si5 | the Alexandria database | PBE-GGA | relaxed
data_Pm12In2Si5
_chemical_formula_sum 'Pm24 In4 Si10'
_cell_length_a 17.2999
_cell_length_b 7.0286
_cell_length_c 9.8422
_cell_angle_alpha 90.00
_cell_angle_beta 105.47
_cell_angle_gamma 90.00
_symmetry_space_group_name_H-M 'C 1 2/m 1'
_symmetry_Int_Tables_number 12
loop_
_symmetry_equiv_pos_as_xyz
'x,y,z'
'-x,-y,-z'
'-x,y,-z'
'x,-y,z'
'x+1/2,y+1/2,z'
'-x+1/2,-y+1/2,-z'
'-x+1/2,y+1/2,-z'
'x+1/2,-y+1/2,z'
loop_
_atom_site_label
_atom_site_fract_x
_atom_site_fract_y
_atom_site_fract_z
_atom_site_occupancy
Pm1 0.0067 0.0000 0.2606 1
Pm2 0.0916 0.5000 0.7937 1
Pm3 0.1473 0.2432 0.5437 1
Pm4 0.1836 0.2424 0.1024 1
In1 0.0000 0.2897 0.0000 1
Si1 0.0000 0.5000 0.5000 1
Si2 0.1696 0.0000 0.8148 1
Si3 0.2074 0.0000 0.3490 1
# D(E_F) in states/eV/f.u.: 19.5
# Crystal system: monoclinic
# ΔE_f (raw) in kcal/mol of atoms: -6.819

[7]
# TiCoIr3 | the Alexandria database | PBE-GGA | relaxed
data_TiCoIr3
_chemical_formula_sum 'Ti1 Co1 Ir3'
_cell_length_a 4.5436
_cell_length_b 4.5436
_cell_length_c 4.5436
_cell_angle_alpha 90.00
_cell_angle_beta 90.00
_cell_angle_gamma 90.00
_symmetry_space_group_name_H-M 'P m -3 m'
_symmetry_Int_Tables_number 221
_symmetry_space_group_name_Hall '-P 4 2 3'
loop_
_atom_site_label
_atom_site_fract_x
_atom_site_fract_y
_atom_site_fract_z
_atom_site_occupancy
Ti1 0.0000 0.0000 0.0000 1
Co1 0.5000 0.5000 0.5000 1
Ir1 0.0000 0.0000 0.5000 1
# D(E_F) in states/eV/f.u.: 5.3
# Crystal system: cubic
# Formation energy from the elements in eV/atom: 1.406

[8]
# MnAsPt | the Alexandria database | PBE-GGA | relaxed
data_MnAsPt
_chemical_formula_sum 'Mn1 As1 Pt1'
_cell_length_a 4.3628
_cell_length_b 4.3628
_cell_length_c 2.8775
_cell_angle_alpha 90.00
_cell_angle_beta 90.00
_cell_angle_gamma 120.00
_symmetry_space_group_name_H-M 'P -6 m 2'
_symmetry_Int_Tables_number 187
_symmetry_space_group_name_Hall 'P -6 2'
loop_
_atom_site_label
_atom_site_fract_x
_atom_site_fract_y
_atom_site_fract_z
_atom_site_occupancy
Mn1 0.0000 0.0000 0.0000 1
As1 0.3333 0.6667 0.5000 1
Pt1 0.6667 0.3333 0.5000 1
# D(E_F) in states/eV/f.u.: 1.4
# Crystal system: hexagonal
# Formation energy from the elements in eV/atom: -0.184

Number 1: raw total energy -2.591 eV per atom, ρ 5.00 Mg/m³, size of the total moment 0.00 μB/cell. Number 2: raw total energy -2.614 eV per atom, ρ 4.68 Mg/m³, size of the total moment 0.00 μB/cell. Number 3: raw total energy -6.955 eV per atom, ρ 5.15 Mg/m³, size of the total moment 0.00 μB/cell. Number 4: raw total energy -4.430 eV per atom, ρ 7.50 Mg/m³, size of the total moment 0.00 μB/cell. Number 5: raw total energy -3.607 eV per atom, ρ 6.81 Mg/m³, size of the total moment 0.00 μB/cell. Number 6: raw total energy -5.011 eV per atom, ρ 6.08 Mg/m³, size of the total moment 0.27 μB/cell. Number 7: raw total energy -6.911 eV per atom, ρ 12.10 Mg/m³, size of the total moment 3.44 μB/cell. Number 8: raw total energy -6.804 eV per atom, ρ 11.38 Mg/m³, size of the total moment 3.95 μB/cell.